Entry 1:
This record from Alexandria describes TcRu2Br after structural relaxation. The functional is GGA-PBE.

a = 2.892 Å, b = 2.892 Å, c = 7.344 Å
α = 90.00°, β = 90.00°, γ = 90.00°
Space group P4mm (No. 99)
Inequivalent atoms, fractional coordinates:
Tc 0.000 0.000 0.000
Ru 0.000 0.000 0.521
Ru 0.500 0.500 0.768
Br 0.500 0.500 0.258

Computed properties:
- E: -6.998 eV/atom
- Formation energy without anion corrections: 0.65 eV per atom

Entry 2:
This record from Alexandria describes BaTl2Zn after structural relaxation. The functional is GGA-PBE.

a = 7.881 Å, b = 7.833 Å, c = 5.585 Å
α = 90.00°, β = 134.49°, γ = 90.00°
Space group C2 (No. 5)
Inequivalent atoms, fractional coordinates:
Ba 0.000 0.000 0.000
Tl 0.000 0.500 0.000
Tl 0.000 0.749 0.500
Zn 0.000 0.250 0.500

Computed properties:
- E: -2.161 eV/atom
- Formation enthalpy at 0 K: -0.178 eV/atom

Entry 3:
This record from Alexandria describes CdSbTe2I after structural relaxation. The functional is GGA-PBE.

a = 5.567 Å, b = 5.567 Å, c = 5.780 Å
α = 90.00°, β = 90.00°, γ = 90.00°
Space group P4/mmm (No. 123)
Inequivalent atoms, fractional coordinates:
Cd 0.000 0.000 0.000
Sb 0.000 0.000 0.500
Te 0.000 0.500 0.000
I 0.500 0.500 0.500

Computed properties:
- E: -2.024 eV/atom
- Formation energy without anion corrections: 0.55 eV per atom

Entry 4:
This record from Alexandria describes InHgW2N after structural relaxation. The functional is GGA-PBE.

a = 5.256 Å, b = 5.256 Å, c = 5.384 Å
α = 90.00°, β = 90.00°, γ = 90.00°
Space group P4/mmm (No. 123)
Inequivalent atoms, fractional coordinates:
In 0.000 0.000 0.000
Hg 0.000 0.000 0.500
W 0.000 0.500 0.500
N 0.500 0.500 0.000

Computed properties:
- E: -3.908 eV/atom
- Formation energy without anion corrections: 3.55 eV per atom

Entry 5:
This record from Alexandria describes YNi2Pt after structural relaxation. The functional is GGA-PBE.

a = 3.616 Å, b = 3.825 Å, c = 4.999 Å
α = 90.00°, β = 109.68°, γ = 90.00°
Space group Pm (No. 6)
Inequivalent atoms, fractional coordinates:
Y 0.000 0.000 0.000
Ni 0.578 0.500 0.164
Ni 0.707 0.000 0.462
Pt 0.271 0.500 0.582

Computed properties:
- E: -6.376 eV/atom
- Formation enthalpy at 0 K: -0.359 eV/atom

Entry 6:
This record from Alexandria describes FeCu2As after structural relaxation. The functional is GGA-PBE.

a = 2.915 Å, b = 4.028 Å, c = 8.818 Å
α = 90.00°, β = 90.00°, γ = 90.00°
Space group Immm (No. 71)
Inequivalent atoms, fractional coordinates:
Fe 0.000 0.000 0.000
Cu 0.000 0.500 0.243
As 0.000 0.000 0.500

Computed properties:
- E: -5.173 eV/atom
- Formation enthalpy at 0 K: 0.153 eV/atom

Entry 7:
This record from Alexandria describes TiOF3 after structural relaxation. The functional is GGA-PBE.

a = 3.889 Å, b = 3.889 Å, c = 3.889 Å
α = 90.00°, β = 90.00°, γ = 90.00°
Space group Pm-3m (No. 221)
Inequivalent atoms, fractional coordinates:
Ti 0.000 0.000 0.000
O 0.500 0.500 0.500
F 0.000 0.500 0.500

Computed properties:
- E: -4.161 eV/atom
- Formation energy without anion corrections: -0.47 eV per atom

Entry 8:
This record from Alexandria describes Mg3GeB after structural relaxation. The functional is GGA-PBE.

a = 4.537 Å, b = 4.537 Å, c = 4.537 Å
α = 90.00°, β = 90.00°, γ = 90.00°
Space group Pm-3m (No. 221)
Inequivalent atoms, fractional coordinates:
Mg 0.000 0.000 0.500
Ge 0.500 0.500 0.500
B 0.000 0.000 0.000

Computed properties:
- E: -2.991 eV/atom
- Formation enthalpy at 0 K: 0.225 eV/atom

Entry 9:
This record from Alexandria describes CeLuS3 after structural relaxation. The functional is GGA-PBE.

a = 3.751 Å, b = 12.747 Å, c = 9.871 Å
α = 90.00°, β = 90.00°, γ = 90.00°
Space group Cmcm (No. 63)
Inequivalent atoms, fractional coordinates:
Ce 0.000 0.000 0.000
Lu 0.000 0.244 0.250
S 0.000 0.105 0.750
S 0.000 0.352 0.584

Computed properties:
- E: -6.478 eV/atom
- Formation energy without anion corrections: -1.91 eV per atom

Entry 10:
This record from Alexandria describes ZnGaSCl2 after structural relaxation. The functional is GGA-PBE.

a = 4.995 Å, b = 4.995 Å, c = 4.740 Å
α = 90.00°, β = 90.00°, γ = 90.00°
Space group P4/mmm (No. 123)
Inequivalent atoms, fractional coordinates:
Zn 0.000 0.000 0.000
Ga 0.500 0.500 0.500
S 0.000 0.000 0.500
Cl 0.000 0.500 0.000

Computed properties:
- E: -2.771 eV/atom
- Formation energy without anion corrections: -0.35 eV per atom

Entry 11:
This record from Alexandria describes InCu2W after structural relaxation. The functional is GGA-PBE.

a = 2.792 Å, b = 4.892 Å, c = 9.450 Å
α = 90.00°, β = 90.00°, γ = 90.00°
Space group Immm (No. 71)
Inequivalent atoms, fractional coordinates:
In 0.000 0.000 0.000
Cu 0.000 0.500 0.241
W 0.000 0.000 0.500

Computed properties:
- E: -5.432 eV/atom
- Formation enthalpy at 0 K: 0.539 eV/atom

Entry 12:
This record from Alexandria describes TeP2Au after structural relaxation. The functional is GGA-PBE.

a = 4.769 Å, b = 4.769 Å, c = 3.324 Å
α = 90.00°, β = 90.00°, γ = 90.00°
Space group P4/mmm (No. 123)
Inequivalent atoms, fractional coordinates:
Te 0.000 0.000 0.000
P 0.000 0.500 0.500
Au 0.500 0.500 0.000

Computed properties:
- E: -3.619 eV/atom
- Formation energy without anion corrections: 0.69 eV per atom